No. 1
Tl2As: relaxed, PBE.

The structure in extended XYZ format:
```
6
Lattice="2.609 -4.519 0.000 2.609 4.519 0.000 0.000 0.000 7.030" Properties=species:S:1:pos:R:3 pbc="T T T"
Tl 0.000 0.000 0.000
Tl 0.000 0.000 3.515
Tl 2.609 1.506 1.757
Tl 2.609 -1.506 5.272
As 2.609 -1.506 1.757
As 2.609 1.506 5.272
```

Output
D(E_F)	3.9	states/eV per cell
space-group type	P6_3/mmc (194)
distance to the lowest polymorph of the same formula	91	meV/atom
total energy	-3.016	eV/atom

=====

No. 2
FeCuSb: relaxed, PBE.

The structure in extended XYZ format:
```
6
Lattice="4.916 -0.012 -0.107 -3.273 6.307 -0.053 -1.713 -2.246 3.078" Properties=species:S:1:pos:R:3 pbc="T T T"
Sb -0.291 0.545 0.094
Sb 1.191 3.527 0.261
Fe -1.339 2.836 1.183
Fe 0.527 -1.009 2.251
Cu -1.185 5.191 0.153
Cu 2.049 0.910 1.664
```

Output
D(E_F)	5.1	states/eV per cell
space-group type	C2/m (12)
formation energy from raw total energies	0.18	eV per atom
total energy	-5.376	eV/atom

=====

No. 3
MnAgSe2: relaxed, PBE.

The structure in extended XYZ format:
```
8
Lattice="8.767 -0.216 0.227 -1.199 3.122 -0.183 -0.469 0.237 6.479" Properties=species:S:1:pos:R:3 pbc="T T T"
Mn -0.818 3.011 -0.030
Mn 1.178 2.076 1.601
Ag 3.516 2.882 0.043
Ag 5.610 1.988 1.754
Se -0.861 3.135 2.367
Se 6.601 0.854 5.938
Se 0.751 2.188 5.683
Se 3.255 1.131 2.522
```

Output
D(E_F)	4.0	states/eV per cell
space-group type	P-1 (2)
formation energy from raw total energies	-0.21	eV per atom
total energy	-4.954	eV/atom

=====

No. 4
KAlMo2: relaxed, PBE.

The structure in extended XYZ format:
```
8
Lattice="-0.487 3.241 -2.627 -3.357 -1.875 -1.690 -7.704 5.127 4.397" Properties=species:S:1:pos:R:3 pbc="T T T"
Mo -2.610 2.807 -0.538
Mo -4.125 0.781 -0.501
Mo -7.495 4.204 1.540
Mo -8.866 5.194 -0.341
K 0.000 0.000 0.000
K -5.056 4.525 -0.194
Al -1.922 0.683 -2.158
Al -6.491 1.968 0.274
```

Output
D(E_F)	6.2	states/eV per cell
space-group type	I-42d (122)
total energy	-5.297	eV/atom

=====

Q: Among the records above, which one has the lowest D(E_F)?
A: Tl2As

=====

Q: Which value of total energy does entry 3 give?
A: -4.954 eV/atom

=====

Q: Which formula does entry 1 have?
A: Tl2As